HfAsC | PBE | relaxed

The calculation puts the theoretical density at 8.392 g/cm3. The calculation puts the formation enthalpy at 0 K at -0.0590 eV/atom. The value obtained for the calculated total energy is -24.00 eV/f.u. The value obtained for the density of states at the Fermi level is 0.48 states/eV/atom.

a = 3.9206 Å, b = 3.6334 Å, c = 7.8435 Å
α = 103.39°, β = 104.47°, γ = 90.00°
Last column: nearest neighbours and their distance in Å.
Fractional positions:
C  0.3389  0.5000  0.0000  1 C 1.26
C  0.6611  0.5000  0.0000  1 C 1.26
As  0.6843  0.1843  0.3686  5 Hf 2.82-2.84
As  0.3157  0.8157  0.6314  5 Hf 2.82-2.84
Hf  0.1230  0.6230  0.2459  2 C 2.25
Hf  0.8770  0.3770  0.7541  2 C 2.25



AgMoPb | PBE | relaxed

The calculation puts the theoretical density at 11.157 g/cm3. The calculation puts the formation enthalpy at 0 K at 0.6717 eV/atom. The value obtained for the calculated total energy is -15.38 eV/f.u. The value obtained for the relative energy among the computed polymorphs is 0.6 meV per atom. The value obtained for the density of states at the Fermi level is 0.63 states/eV/atom.

a = 3.0810 Å, b = 3.0810 Å, c = 7.4410 Å
α = 90.00°, β = 90.00°, γ = 120.00°
Last column: nearest neighbours and their distance in Å.
Fractional positions:
Ag  0.0000  0.0000  0.0211  3 Mo 2.88, 6 Ag 3.08
Pb  0.3333  0.6667  0.6531  3 Mo 3.02, 6 Pb 3.08, 3 Ag 3.27
Mo  0.6667  0.3333  0.3259  3 Ag 2.88, 3 Pb 3.02, 6 Mo 3.08



B5C7 | PBE | relaxed

The calculation puts the theoretical density at 2.927 g/cm3. The calculation puts the formation enthalpy at 0 K at 0.4605 eV/atom. The value obtained for the calculated total energy is -92.43 eV/f.u. The value obtained for the relative energy among the computed polymorphs is 202.6 meV per atom. The value obtained for the density of states at the Fermi level is 0.19 states/eV/atom.

a = 7.3024 Å, b = 7.2820 Å, c = 7.2820 Å
α = 159.39°, β = 144.83°, γ = 41.09°
Last column: nearest neighbours and their distance in Å.
Fractional positions:
B  0.5544  0.2915  0.2628  2 C 1.58, 1 B 1.75
B  0.0021  0.6598  0.3423  3 C 1.63-1.64, 1 B 1.71
B  0.0039  0.3461  0.6578  1 C 1.58
B  0.1705  0.7842  0.3863  1 C 1.62, 1 B 1.71
B  0.4968  0.1649  0.3319  3 C 1.65, 1 B 1.75
C  0.0018  0.0012  0.0006  4 C 1.48-1.58
C  0.5004  0.5021  0.9983  4 C 1.53-1.59
C  0.5400  0.8522  0.6878  1 C 1.51, 3 B 1.58-1.62
C  0.1271  0.4620  0.6651  3 C 1.57-1.58, 1 B 1.58
C  0.6141  0.6138  0.0003  1 C 1.53, 3 B 1.64-1.65
C  0.6294  0.9625  0.6668  4 C 1.51-1.59
C  0.1096  0.1097  0.9999  1 C 1.48, 3 B 1.63-1.65



AcBeBRh6 | PBE | relaxed

The calculation puts the theoretical density at 9.870 g/cm3. The calculation puts the formation enthalpy at 0 K at -0.0963 eV/atom. The value obtained for the calculated total energy is -59.49 eV/f.u. The value obtained for the density of states at the Fermi level is 1.17 states/eV/atom.

a = 5.8450 Å, b = 8.9406 Å, c = 7.7130 Å
α = 125.42°, β = 112.27°, γ = 90.00°
Last column: nearest neighbours and their distance in Å.
Fractional positions:
Rh  0.3870  0.1052  0.2589  1 B 2.03
Rh  0.1281  0.3462  0.7411  1 B 2.03
Rh  0.8719  0.6538  0.2589  1 B 2.03
Rh  0.1281  0.8948  0.7411  1 B 2.03
Rh  0.5149  0.2649  0.0298  2 B 2.24
Rh  0.8995  0.1495  0.7989  2 Be 2.21
Rh  0.3870  0.6538  0.2589  1 B 2.03
Rh  0.4851  0.7351  0.9702  2 B 2.24
Rh  0.8719  0.1052  0.2589  1 B 2.03
Rh  0.6130  0.3462  0.7411  1 B 2.03
Rh  0.6130  0.8948  0.7411  1 B 2.03
Rh  0.1005  0.8505  0.2011  2 Be 2.21
Ac  0.1598  0.4098  0.3195  5 Rh 2.90
Ac  0.8402  0.5902  0.6805  5 Rh 2.90
Be  0.0000  0.0000  0.5000  6 Rh 2.21-2.42
Be  0.5000  0.0000  0.5000  6 Rh 2.21-2.42
B  0.5000  0.0000  0.0000  6 Rh 2.03-2.24
B  0.5000  0.5000  0.0000  6 Rh 2.03-2.24



> The lowest density of states at the Fermi level belongs to which entry?

B5C7



> What is the calculated total energy in the fourth record?

-59.49 eV/f.u.



What did the second record say?
AgMoPb | PBE | relaxed

The calculation puts the theoretical density at 11.157 g/cm3. The calculation puts the formation enthalpy at 0 K at 0.6717 eV/atom. The value obtained for the calculated total energy is -15.38 eV/f.u. The value obtained for the relative energy among the computed polymorphs is 0.6 meV per atom. The value obtained for the density of states at the Fermi level is 0.63 states/eV/atom.

a = 3.0810 Å, b = 3.0810 Å, c = 7.4410 Å
α = 90.00°, β = 90.00°, γ = 120.00°
Last column: nearest neighbours and their distance in Å.
Fractional positions:
Ag  0.0000  0.0000  0.0211  3 Mo 2.88, 6 Ag 3.08
Pb  0.3333  0.6667  0.6531  3 Mo 3.02, 6 Pb 3.08, 3 Ag 3.27
Mo  0.6667  0.3333  0.3259  3 Ag 2.88, 3 Pb 3.02, 6 Mo 3.08